Entry 1:
Nb5Ga4H after structural relaxation, computed with PBE.

abc: 6.332 6.332 6.332
angles: 97.33 97.33 138.14
Fractional coordinates of all 10 atoms:
Nb 0.000 0.000 0.000
Nb 0.325 0.325 0.650
Nb 0.325 0.675 0.000
Nb 0.675 0.325 0.000
Nb 0.675 0.675 0.350
Ga 0.000 0.327 0.327
Ga 0.000 0.674 0.673
Ga 0.327 0.000 0.327
Ga 0.674 0.000 0.673
H 0.506 0.506 0.000

Calculated values
The value obtained for the magnetic moment is 0.0 μB/f.u. Its space group is I4mm (107). The final energy comes out at -67.440 eV per cell. The crystal system is tetragonal.

***

Entry 2:
Sm3Ho6Er2 after structural relaxation, computed with PBE.

abc: 16.885 16.885 16.885
angles: 163.92 163.92 22.82
Fractional coordinates of all 11 atoms:
Sm 0.000 0.000 0.000
Sm 0.202 0.202 0.000
Sm 0.798 0.798 0.000
Ho 0.121 0.621 0.500
Ho 0.306 0.306 0.000
Ho 0.379 0.879 0.500
Ho 0.621 0.121 0.500
Ho 0.694 0.694 0.000
Ho 0.879 0.379 0.500
Er 0.454 0.454 0.000
Er 0.546 0.546 0.000

Calculated values
The value obtained for the magnetic moment is 0.0 μB/f.u. Its space group is I4/mmm (139). The energy of formation comes out at 0.282 eV per atom. The crystal system is tetragonal.

***

Entry 3:
Sb2RuI after structural relaxation, computed with PBE.

abc: 7.941 7.941 7.941
angles: 129.95 129.95 73.49
Fractional coordinates of all 8 atoms:
Sb 0.010 0.625 0.885
Sb 0.375 0.260 0.385
Sb 0.740 0.125 0.115
Sb 0.875 0.990 0.615
Ru 0.000 0.000 0.000
Ru 0.750 0.250 0.500
I 0.250 0.750 0.500
I 0.500 0.500 0.000

Calculated values
The value obtained for the magnetic moment is 0.0 μB/f.u. As for the offset from the most stable computed form: 0.000 eV/atom. Its space group is I-42d (122). The energy relative to the elements, uncorrected comes out at 261 meV/atom. The crystal system is tetragonal.